[1]
The following is a DFT calculation (PBE-GGA) of a geometry-optimized Li2HoPtO4 structure.

N(E_F) ... 0.01 states/eV/f.u.
Raw formation energy ... -1.852 eV per atom

a b c (Å): 3.2407 5.3917 5.5657
angles (deg): 110.15 90.00 90.00
With the nearest neighbours (Å) after each atom.
Positions (direct):
Li 0.5000 0.0000 0.5000  6 O 2.19-2.29
Li 0.0000 0.5000 0.5000  2 O 2.00
Ho 0.5000 0.5000 0.0000  6 O 2.24-2.33
Pt 0.0000 0.0000 0.0000  4 O 2.10
O 0.5000 0.2027 0.2208  2 Pt 2.10, 1 Li 2.19, 1 Ho 2.33
O 0.5000 0.7973 0.7792  2 Pt 2.10, 1 Li 2.19, 1 Ho 2.33
O 0.0000 0.2843 0.7296  1 Li 2.00
O 0.0000 0.7157 0.2704  1 Li 2.00


[2]
The following is a DFT calculation (PBE-GGA) of a geometry-optimized LiHo2PtO5 structure.

N(E_F) ... 5.12 states/eV/f.u.
Raw formation energy ... -2.262 eV per atom

a b c (Å): 5.7931 6.4780 6.4780
angles (deg): 90.00 90.00 90.00
With the nearest neighbours (Å) after each atom.
Positions (direct):
Li 0.0000 0.5000 0.5000  10 O 2.90-2.93, 4 Pt 3.24
Li 0.0000 0.0000 0.0000  10 O 2.90-2.93, 4 Pt 3.24
Ho 0.5000 0.6754 0.1754  4 O 2.20-2.39
Ho 0.5000 0.1754 0.3246  4 O 2.20-2.39
Ho 0.5000 0.8246 0.6754  4 O 2.20-2.39
Ho 0.5000 0.3246 0.8246  4 O 2.20-2.39
Pt 0.0000 0.0000 0.5000  4 O 1.97
Pt 0.0000 0.5000 0.0000  4 O 1.97
O 0.5000 0.5000 0.5000  4 Ho 2.39
O 0.5000 0.0000 0.0000  4 Ho 2.39
O 0.2606 0.1387 0.6387  1 Pt 1.97, 1 Ho 2.20
O 0.2606 0.8613 0.3613  1 Pt 1.97, 1 Ho 2.20
O 0.2606 0.3613 0.1387  1 Pt 1.97, 1 Ho 2.20
O 0.2606 0.6387 0.8613  1 Pt 1.97, 1 Ho 2.20
O 0.7394 0.1387 0.6387  1 Pt 1.97, 1 Ho 2.20
O 0.7394 0.6387 0.8613  1 Pt 1.97, 1 Ho 2.20
O 0.7394 0.8613 0.3613  1 Pt 1.97, 1 Ho 2.20
O 0.7394 0.3613 0.1387  1 Pt 1.97, 1 Ho 2.20


[3]
The following is a DFT calculation (PBE-GGA) of a geometry-optimized LiHoPtO4 structure.

Raw formation energy ... -1.917 eV per atom

a b c (Å): 6.3184 6.3896 6.8484
angles (deg): 122.40 90.00 119.63
With the nearest neighbours (Å) after each atom.
Positions (direct):
Li 0.9169 0.8338 0.1669  2 O 1.90
Li 0.0831 0.1662 0.8331  2 O 1.90
Ho 0.5000 0.0000 0.5000  6 O 2.25-2.30
Ho 0.5000 0.0000 0.0000  6 O 2.25-2.30
Pt 0.5000 0.5000 0.5000  6 O 2.08
Pt 0.0000 0.5000 0.5000  6 O 2.08
O 0.7591 0.5182 0.7060  2 Pt 2.08, 1 Ho 2.30
O 0.2824 0.0252 0.2626  1 Li 1.90, 1 Pt 2.08
O 0.7428 0.0252 0.2626  1 Li 1.90, 1 Pt 2.08
O 0.7591 0.5182 0.3122  2 Pt 2.08, 1 Ho 2.30
O 0.2409 0.4818 0.6878  2 Pt 2.08, 1 Ho 2.30
O 0.7176 0.9748 0.7374  1 Li 1.90, 1 Pt 2.08
O 0.2572 0.9748 0.7374  1 Li 1.90, 1 Pt 2.08
O 0.2409 0.4818 0.2940  2 Pt 2.08, 1 Ho 2.30


[4]
The following is a DFT calculation (PBE-GGA) of a geometry-optimized Li3Ho2PtO6 structure.

N(E_F) ... 0.64 states/eV/f.u.
Raw formation energy ... -2.175 eV per atom

a b c (Å): 5.6180 5.6180 5.3924
angles (deg): 99.08 99.08 120.30
With the nearest neighbours (Å) after each atom.
Positions (direct):
Li 0.1466 0.8534 0.5000  4 O 2.16-2.22
Li 0.8534 0.1466 0.5000  4 O 2.16-2.22
Li 0.5000 0.5000 0.5000  6 O 2.28-2.36
Ho 0.3293 0.6707 0.0000  6 O 2.24-2.31
Ho 0.6707 0.3293 0.0000  6 O 2.24-2.31
Pt 0.0000 0.0000 0.0000  6 O 2.10-2.28
O 0.9172 0.5852 0.7477  3 Li 2.22-2.43, 2 Ho 2.24-2.26, 1 Pt 2.28
O 0.7618 0.7618 0.2325  1 Pt 2.10, 2 Li 2.16, 2 Ho 2.31
O 0.0828 0.4148 0.2523  3 Li 2.22-2.43, 2 Ho 2.24-2.26, 1 Pt 2.28
O 0.5852 0.9172 0.7477  3 Li 2.22-2.43, 2 Ho 2.24-2.26, 1 Pt 2.28
O 0.2382 0.2382 0.7675  1 Pt 2.10, 2 Li 2.16, 2 Ho 2.31
O 0.4148 0.0828 0.2523  3 Li 2.22-2.43, 2 Ho 2.24-2.26, 1 Pt 2.28


[5]
The following is a DFT calculation (PBE-GGA) of a geometry-optimized LiHo2PuO6 structure.

N(E_F) ... 10.58 states/eV/f.u.
Raw formation energy ... -3.008 eV per atom

a b c (Å): 5.7119 5.7119 5.9999
angles (deg): 61.58 61.58 60.00
With the nearest neighbours (Å) after each atom.
Positions (direct):
Li 0.7979 0.7978 0.6065  3 O 2.20
Ho 0.5283 0.5283 0.4151  6 O 2.23-2.38
Ho 0.0205 0.0206 0.9384  6 O 2.24-2.33
Pu 0.3185 0.3185 0.0446  6 O 2.14-2.15
O 0.6024 0.2204 0.2403  1 Pu 2.14, 2 Ho 2.23-2.33
O 0.2204 0.9369 0.2403  1 Pu 2.14, 2 Ho 2.23-2.33
O 0.9369 0.6024 0.2403  1 Pu 2.14, 2 Ho 2.23-2.33
O 0.4131 0.6958 0.7632  1 Pu 2.15, 1 Li 2.20, 2 Ho 2.24-2.38
O 0.6958 0.1278 0.7632  1 Pu 2.15, 1 Li 2.20, 2 Ho 2.24-2.38
O 0.1278 0.4131 0.7632  1 Pu 2.15, 1 Li 2.20, 2 Ho 2.24-2.38


[6]
The following is a DFT calculation (PBE-GGA) of a geometry-optimized Li2HoPuO6 structure.

Raw formation energy ... -2.595 eV per atom

a b c (Å): 5.3405 5.3406 6.0014
angles (deg): 63.58 63.58 60.00
With the nearest neighbours (Å) after each atom.
Positions (direct):
Li 0.6146 0.6146 0.1560  3 O 2.02
Li 0.0177 0.0177 0.9470  3 O 2.02
Ho 0.8162 0.8162 0.5515  6 O 2.27
Pu 0.3161 0.3162 0.0515  6 O 2.02
O 0.5694 0.2180 0.2692  1 Pu 2.02, 1 Li 2.02
O 0.2180 0.9434 0.2693  1 Pu 2.02, 1 Li 2.02
O 0.9434 0.5693 0.2693  1 Pu 2.02, 1 Li 2.02
O 0.4143 0.6890 0.8338  1 Pu 2.02, 1 Li 2.02
O 0.6890 0.0629 0.8338  1 Pu 2.02, 1 Li 2.02
O 0.0629 0.4143 0.8338  1 Pu 2.02, 1 Li 2.02


[7]
The following is a DFT calculation (PBE-GGA) of a geometry-optimized LiHoPuO6 structure.

N(E_F) ... 2.96 states/eV/f.u.
Raw formation energy ... -2.442 eV per atom

a b c (Å): 4.8916 5.2924 5.2924
angles (deg): 120.00 90.00 90.00
With the nearest neighbours (Å) after each atom.
Positions (direct):
Li 0.5000 0.0000 0.0000  6 O 2.12
Ho 0.0000 0.3333 0.6667  6 O 2.28
Pu 0.5000 0.6667 0.3333  6 O 1.97
O 0.7254 0.6705 0.6447  1 Pu 1.97, 1 Li 2.12
O 0.7254 0.3553 0.0258  1 Pu 1.97, 1 Li 2.12
O 0.7254 0.9742 0.3295  1 Pu 1.97, 1 Li 2.12
O 0.2746 0.3553 0.3295  1 Pu 1.97, 1 Li 2.12
O 0.2746 0.6705 0.0258  1 Pu 1.97, 1 Li 2.12
O 0.2746 0.9742 0.6447  1 Pu 1.97, 1 Li 2.12


[8]
The following is a DFT calculation (PBE-GGA) of a geometry-optimized LiHoPuO4 structure.

N(E_F) ... 4.69 states/eV/f.u.
Raw formation energy ... -2.781 eV per atom

a b c (Å): 5.6762 5.6762 6.9078
angles (deg): 90.00 90.00 115.52
With the nearest neighbours (Å) after each atom.
Positions (direct):
Li 0.1554 0.8446 0.2500  4 O 1.96-2.11
Li 0.8446 0.1554 0.7500  4 O 1.96-2.11
Ho 0.5000 0.5000 0.5000  6 O 2.25-2.30
Ho 0.5000 0.5000 0.0000  6 O 2.25-2.30
Pu 0.8393 0.1607 0.2500  4 O 2.07-2.18
Pu 0.1607 0.8393 0.7500  4 O 2.07-2.18
O 0.2484 0.2523 0.7500  1 Li 2.11, 1 Pu 2.18, 2 Ho 2.30
O 0.7477 0.7516 0.7500  1 Li 2.11, 1 Pu 2.18, 2 Ho 2.30
O 0.7343 0.2657 0.9883  1 Li 1.96, 1 Pu 2.07
O 0.7343 0.2657 0.5117  1 Li 1.96, 1 Pu 2.07
O 0.2657 0.7343 0.0117  1 Li 1.96, 1 Pu 2.07
O 0.2657 0.7343 0.4883  1 Li 1.96, 1 Pu 2.07
O 0.7516 0.7477 0.2500  1 Li 2.11, 1 Pu 2.18, 2 Ho 2.30
O 0.2523 0.2484 0.2500  1 Li 2.11, 1 Pu 2.18, 2 Ho 2.30


[9]
The following is a DFT calculation (PBE-GGA) of a geometry-optimized RbLiHo2O4 structure.

N(E_F) ... 0.00 states/eV/f.u.
Raw formation energy ... -2.843 eV per atom

a b c (Å): 3.4656 6.0890 11.6604
angles (deg): 90.00 90.00 106.53
With the nearest neighbours (Å) after each atom.
Positions (direct):
Rb 0.0988 0.1975 0.7500  8 O 2.91-3.13, 2 Li 3.10
Rb 0.9012 0.8025 0.2500  8 O 2.91-3.13, 2 Li 3.10
Li 0.8189 0.6378 0.7500  4 O 1.94-1.97
Li 0.1811 0.3622 0.2500  4 O 1.94-1.97
Ho 0.3651 0.7301 0.5586  6 O 2.24-2.44
Ho 0.6349 0.2699 0.0586  6 O 2.24-2.44
Ho 0.6349 0.2699 0.4414  6 O 2.24-2.44
Ho 0.3651 0.7301 0.9414  6 O 2.24-2.44
O 0.2500 0.5001 0.0986  1 Li 1.94
O 0.7500 0.4999 0.5986  1 Li 1.94
O 0.7500 0.4999 0.9014  1 Li 1.94
O 0.2500 0.5001 0.4014  1 Li 1.94
O 0.0000 0.0000 0.5000  4 Ho 2.44
O 0.0000 0.0000 0.0000  4 Ho 2.44
O 0.3984 0.7968 0.7500  2 Li 1.97
O 0.6016 0.2032 0.2500  2 Li 1.97


[10]
The following is a DFT calculation (PBE-GGA) of a geometry-optimized Li3Ho3RhO8 structure.

N(E_F) ... 7.03 states/eV/f.u.
Raw formation energy ... -2.434 eV per atom

a b c (Å): 6.5836 6.5833 6.2478
angles (deg): 121.80 90.00 120.00
With the nearest neighbours (Å) after each atom.
Positions (direct):
Li 0.0000 0.0000 0.0000  6 O 2.27-2.32
Li 0.0000 0.5000 0.0000  6 O 2.26-2.32
Li 0.5000 0.5000 0.0000  6 O 2.26-2.32
Ho 0.5000 0.0000 0.5000  6 O 2.22-2.29
Ho 0.5000 0.5000 0.5000  6 O 2.22-2.29
Ho 0.0000 0.5000 0.5000  6 O 2.22-2.29
Rh 0.0000 0.0000 0.5000  6 O 2.07
O 0.2558 0.5116 0.2674  3 Ho 2.22, 3 Li 2.32
O 0.7442 0.4884 0.7326  3 Ho 2.22, 3 Li 2.32
O 0.7714 0.5428 0.2709  1 Rh 2.07, 2 Li 2.27, 2 Ho 2.29
O 0.2286 0.4572 0.7291  1 Rh 2.07, 2 Li 2.27, 2 Ho 2.29
O 0.7714 0.9994 0.2709  1 Rh 2.07, 2 Li 2.26-2.27, 2 Ho 2.29
O 0.2286 0.0006 0.7291  1 Rh 2.07, 2 Li 2.26-2.27, 2 Ho 2.29
O 0.2281 0.9994 0.2709  1 Rh 2.07, 2 Li 2.26-2.27, 2 Ho 2.29
O 0.7719 0.0006 0.7291  1 Rh 2.07, 2 Li 2.26-2.27, 2 Ho 2.29


[11]
The following is a DFT calculation (PBE-GGA) of a geometry-optimized LiHo2RhO5 structure.

N(E_F) ... 4.37 states/eV/f.u.
Raw formation energy ... -2.262 eV per atom

a b c (Å): 5.7274 6.4819 6.4819
angles (deg): 90.00 90.00 90.00
With the nearest neighbours (Å) after each atom.
Positions (direct):
Li 0.0000 0.5000 0.5000  10 O 2.86-2.90
Li 0.0000 0.0000 0.0000  10 O 2.86-2.90
Ho 0.5000 0.6760 0.1760  4 O 2.19-2.39
Ho 0.5000 0.1760 0.3240  4 O 2.19-2.39
Ho 0.5000 0.8240 0.6760  4 O 2.19-2.39
Ho 0.5000 0.3240 0.8240  4 O 2.19-2.39
Rh 0.0000 0.0000 0.5000  4 O 1.95
Rh 0.0000 0.5000 0.0000  4 O 1.95
O 0.5000 0.5000 0.5000  4 Ho 2.39
O 0.5000 0.0000 0.0000  4 Ho 2.39
O 0.2562 0.1395 0.6395  1 Rh 1.95
O 0.2562 0.8605 0.3605  1 Rh 1.95
O 0.2562 0.3605 0.1395  1 Rh 1.95
O 0.2562 0.6395 0.8605  1 Rh 1.95
O 0.7438 0.1395 0.6395  1 Rh 1.95
O 0.7438 0.6395 0.8605  1 Rh 1.95
O 0.7438 0.8605 0.3605  1 Rh 1.95
O 0.7438 0.3605 0.1395  1 Rh 1.95


[12]
The following is a DFT calculation (PBE-GGA) of a geometry-optimized Li2HoRhO4 structure.

Raw formation energy ... -2.033 eV per atom

a b c (Å): 3.2559 5.1923 5.3767
angles (deg): 107.85 90.00 90.00
With the nearest neighbours (Å) after each atom.
Positions (direct):
Li 0.5000 0.0000 0.5000  6 O 2.04-2.26
Li 0.0000 0.5000 0.5000  2 O 2.12
Ho 0.5000 0.5000 0.0000  6 O 2.24-2.25
Rh 0.0000 0.0000 0.0000  6 O 2.13-2.15
O 0.5000 0.2058 0.2324  1 Li 2.04, 2 Rh 2.13, 1 Ho 2.25
O 0.5000 0.7942 0.7676  1 Li 2.04, 2 Rh 2.13, 1 Ho 2.25
O 0.0000 0.2540 0.7505  3 Li 2.12-2.26, 1 Rh 2.15, 2 Ho 2.24
O 0.0000 0.7460 0.2495  3 Li 2.12-2.26, 1 Rh 2.15, 2 Ho 2.24